[1]
The following is a DFT calculation (meta-GGA SCAN) of a PBEsol-optimized structure of TlCrTc3.

abc: 4.4184 4.4184 4.4184
angles: 90.00 90.00 90.00
With the nearest neighbours (Å) after each atom.
Atoms (fractional coordinates):
Tc: 0.5000 0.0000 0.0000  2 Cr 2.21
Tc: 0.0000 0.0000 0.5000  2 Cr 2.21
Tc: 0.0000 0.5000 0.0000  2 Cr 2.21
Cr: 0.0000 0.0000 0.0000  6 Tc 2.21
Tl: 0.5000 0.5000 0.5000  12 Tc 3.12

Crystal system: cubic


[2]
The following is a DFT calculation (meta-GGA SCAN) of a PBEsol-optimized structure of Cr2TcW.

abc: 2.9898 4.2438 4.9023
angles: 115.65 107.75 90.00
With the nearest neighbours (Å) after each atom.
Atoms (fractional coordinates):
Tc: 0.0000 0.5000 0.0000  4 Cr 2.58, 4 W 2.60
Cr: 0.7525 0.7525 0.5050  2 W 2.54, 2 Tc 2.58, 4 Cr 2.60
Cr: 0.2475 0.2475 0.4950  2 W 2.54, 2 Tc 2.58, 4 Cr 2.60
W: 0.5000 0.0000 0.0000  4 Cr 2.54, 4 Tc 2.60

Crystal system: orthorhombic
Excess energy over the best structure of this formula in the dataset, meV per atom: 75


[3]
The following is a DFT calculation (meta-GGA SCAN) of a PBEsol-optimized structure of Cr2TcW.

abc: 4.1932 4.1932 4.1932
angles: 60.00 60.00 60.00
With the nearest neighbours (Å) after each atom.
Atoms (fractional coordinates):
Cr: 0.7500 0.7500 0.7500  4 Tc 2.57, 4 W 2.57
Tc: 0.0000 0.0000 0.0000  8 Cr 2.57
Cr: 0.2500 0.2500 0.2500  4 W 2.57, 4 Tc 2.57
W: 0.5000 0.5000 0.5000  8 Cr 2.57

Crystal system: cubic
Excess energy over the best structure of this formula in the dataset, meV per atom: 57


[4]
The following is a DFT calculation (meta-GGA SCAN) of a PBEsol-optimized structure of Cr2TcW.

abc: 2.9655 4.1942 4.1942
angles: 90.00 90.00 90.00
With the nearest neighbours (Å) after each atom.
Atoms (fractional coordinates):
Tc: 0.5000 0.5000 0.5000  8 Cr 2.57
Cr: 0.0000 0.0000 0.5000  4 Tc 2.57, 4 W 2.57
W: 0.5000 0.0000 0.0000  8 Cr 2.57
Cr: 0.0000 0.5000 0.0000  4 W 2.57, 4 Tc 2.57

Crystal system: tetragonal
Excess energy over the best structure of this formula in the dataset, meV per atom: 42


[5]
The following is a DFT calculation (meta-GGA SCAN) of a PBEsol-optimized structure of Cr2TcW.

abc: 4.2064 4.2064 4.2064
angles: 60.00 60.00 60.00
With the nearest neighbours (Å) after each atom.
Atoms (fractional coordinates):
W: 0.2500 0.2500 0.2500  4 Cr 2.58, 4 Tc 2.58
Cr: 0.0000 0.0000 0.0000  4 Cr 2.58, 4 W 2.58
Cr: 0.7500 0.7500 0.7500  4 Cr 2.58, 4 Tc 2.58
Tc: 0.5000 0.5000 0.5000  4 W 2.58, 4 Cr 2.58

Crystal system: cubic
Excess energy over the best structure of this formula in the dataset, meV per atom: 0


[6]
The following is a DFT calculation (meta-GGA SCAN) of a PBEsol-optimized structure of Cr2TcW.

abc: 2.9591 2.9591 5.9779
angles: 90.00 90.00 90.00
With the nearest neighbours (Å) after each atom.
Atoms (fractional coordinates):
Cr: 0.5000 0.5000 0.2347  4 Cr 2.48, 4 Tc 2.59
W: 0.5000 0.5000 0.7626  5 Cr 2.57-2.82, 4 Tc 2.65
Tc: 0.0000 0.0000 0.4893  5 Cr 2.59-2.85, 4 W 2.65
Cr: 0.0000 0.0000 0.0134  4 Cr 2.48, 4 W 2.57

Crystal system: tetragonal
Excess energy over the best structure of this formula in the dataset, meV per atom: 27


[7]
The following is a DFT calculation (meta-GGA SCAN) of a PBEsol-optimized structure of Cr2TcW.

abc: 2.9925 4.1540 4.2449
angles: 90.00 90.00 90.00
With the nearest neighbours (Å) after each atom.
Atoms (fractional coordinates):
Tc: 0.5000 0.5000 0.0000  4 Cr 2.56, 4 W 2.60
W: 0.0000 0.5000 0.5000  4 Cr 2.56, 4 Tc 2.60
Cr: 0.5000 0.0000 0.5000  4 W 2.56, 4 Cr 2.60
Cr: 0.0000 0.0000 0.0000  4 Tc 2.56, 4 Cr 2.60

Crystal system: orthorhombic
Excess energy over the best structure of this formula in the dataset, meV per atom: 14


[8]
The following is a DFT calculation (meta-GGA SCAN) of a PBEsol-optimized structure of Cr2TcW.

abc: 2.9657 4.2089 4.9185
angles: 115.33 107.55 90.00
With the nearest neighbours (Å) after each atom.
Atoms (fractional coordinates):
Cr: 0.9950 0.9950 0.9901  2 Cr 2.49, 2 W 2.57, 4 Tc 2.58
W: 0.7448 0.2448 0.4896  6 Cr 2.57-2.58, 2 Tc 2.63
Tc: 0.5032 0.5032 0.0065  6 Cr 2.58-2.59, 2 W 2.63
Cr: 0.2569 0.7569 0.5138  2 Cr 2.49, 4 W 2.58, 2 Tc 2.59

Crystal system: orthorhombic
Excess energy over the best structure of this formula in the dataset, meV per atom: 48


[9]
The following is a DFT calculation (meta-GGA SCAN) of a PBEsol-optimized structure of Y2CrTc.

abc: 4.7808 4.7808 4.7808
angles: 60.00 60.00 60.00
With the nearest neighbours (Å) after each atom.
Atoms (fractional coordinates):
Tc: 0.2500 0.2500 0.2500  4 Cr 2.93, 4 Y 2.93
Y: 0.0000 0.0000 0.0000  4 Tc 2.93, 4 Y 2.93
Y: 0.7500 0.7500 0.7500  4 Y 2.93, 4 Cr 2.93
Cr: 0.5000 0.5000 0.5000  4 Y 2.93, 4 Tc 2.93

Crystal system: cubic


[10]
The following is a DFT calculation (meta-GGA SCAN) of a PBEsol-optimized structure of YCr2Tc.

abc: 2.9663 3.6152 6.0909
angles: 90.00 101.34 90.00
With the nearest neighbours (Å) after each atom.
Atoms (fractional coordinates):
Cr: 0.4549 0.5000 0.2402  2 Cr 2.22, 2 Tc 2.40
Cr: 0.1140 0.0000 0.0719  2 Cr 2.22, 1 Tc 2.39
Y: 0.5271 0.5000 0.7571  6 Cr 2.94-3.11, 2 Y 2.97, 4 Tc 3.03-3.06
Tc: 0.9040 0.0000 0.4307  3 Cr 2.39-2.40

Crystal system: monoclinic


[11]
The following is a DFT calculation (meta-GGA SCAN) of a PBEsol-optimized structure of ZnCrTc.

abc: 3.0024 3.0024 4.8051
angles: 108.20 108.20 90.00
With the nearest neighbours (Å) after each atom.
Atoms (fractional coordinates):
Tc: 0.6508 0.6508 0.3016  4 Cr 2.44, 5 Zn 2.66-2.71
Cr: 0.0122 0.0122 0.0243  4 Tc 2.44, 4 Zn 2.61
Zn: 0.3370 0.3370 0.6741  5 Cr 2.61-2.80, 5 Tc 2.66-2.71

Crystal system: tetragonal
Excess energy over the best structure of this formula in the dataset, meV per atom: 0


[12]
The following is a DFT calculation (meta-GGA SCAN) of a PBEsol-optimized structure of ZnCrTc2.

abc: 4.2341 4.2341 4.2341
angles: 60.00 60.00 60.00
With the nearest neighbours (Å) after each atom.
Atoms (fractional coordinates):
Cr: 0.5000 0.5000 0.5000  4 Tc 2.59, 4 Zn 2.59
Zn: 0.7500 0.7500 0.7500  4 Tc 2.59, 4 Cr 2.59
Tc: 0.2500 0.2500 0.2500  4 Cr 2.59, 4 Tc 2.59
Tc: 0.0000 0.0000 0.0000  4 Zn 2.59, 4 Tc 2.59

Crystal system: cubic


| no. | formation enthalpy at 0 K (meV per atom) |
| --- | --- |
| 1 | 1226 |
| 2 | 56 |
| 3 | 38 |
| 4 | 23 |
| 5 | -19 |
| 6 | 8 |
| 7 | -5 |
| 8 | 29 |
| 9 | 348 |
| 10 | 406 |
| 11 | -17 |
| 12 | 46 |